Crystalline TbSc5Ir4 at its relaxed geometry. Source: Alexandria, functional PBE.

extended XYZ file:
```
10
Lattice="-2.441 0.648 -1.949 0.567 -2.696 -1.607 -11.623 -9.281 11.470" Properties=species:S:1:pos:R:3 pbc="T T T"
Sc -10.846 -8.936 8.001
Sc -8.808 -7.309 5.989
Sc -2.651 -2.393 -0.087
Sc -4.689 -4.020 1.925
Sc -6.748 -5.664 3.957
Ir -4.777 -3.814 4.714
Ir -8.928 -7.129 8.811
Ir -2.694 -2.151 2.659
Ir -6.846 -5.466 6.756
Tb 0.000 0.000 0.000
```

* DFT formation energy: -0.81 eV/atom
* theoretical density: 10.01 g/cm3



Crystalline NaTiCo2Tc at its relaxed geometry. Source: Alexandria, functional PBE.

extended XYZ file:
```
5
Lattice="4.208 0.000 0.000 0.000 4.604 0.000 0.000 0.000 4.208" Properties=species:S:1:pos:R:3 pbc="T T T"
Co 2.104 0.000 0.000
Co 0.000 0.000 2.104
Tc 0.000 2.302 0.000
Ti 2.104 2.302 2.104
Na 0.000 0.000 0.000
```

* DFT formation energy: 1.82 eV/atom
* theoretical density: 5.84 g/cm3